No. 1
NbCoRe2B, PBEsol geometry, DFT SCAN; energy relative to the elements = 3.17 eV per atom
1.0
4.305 0.000 0.000
0.000 4.732 0.000
0.000 0.000 4.732
Nb Re B Co
1 2 1 1
Direct
0.000 0.000 0.000
0.000 0.500 0.000
0.000 0.000 0.500
0.500 0.500 0.500
0.500 0.000 0.000


No. 2
Na3TcPt, PBEsol geometry, DFT SCAN; energy relative to the elements = 1.04 eV per atom
1.0
-1.672 -2.653 4.251
1.899 -4.483 -2.050
4.637 0.880 2.372
Pt Tc Na
1 1 3
Direct
0.000 0.000 0.000
0.500 0.500 0.500
0.500 0.000 0.000
0.000 0.000 0.500
0.000 0.500 0.000


No. 3
Sn3BiTe4, PBEsol geometry, DFT SCAN; E_form (uncorrected) = -103 kJ/mol of formula units
1.0
4.575 0.000 0.000
2.288 3.962 0.000
2.288 1.321 13.780
Te Bi Sn
4 1 3
Direct
0.375 0.375 0.874
0.125 0.125 0.625
0.875 0.875 0.375
0.625 0.625 0.126
0.000 0.000 0.000
0.500 0.500 0.500
0.249 0.249 0.253
0.751 0.751 0.747


No. 4
Ge7Ir3, PBEsol geometry, DFT SCAN; energy relative to the elements = -0.34 eV per atom
1.0
-0.567 1.413 7.355
-6.514 -2.753 -2.530
5.463 -5.020 -1.172
Ir Ge
6 14
Direct
0.660 0.660 0.000
0.000 0.340 0.340
0.000 0.660 0.660
0.340 0.340 0.000
0.660 0.000 0.660
0.340 0.000 0.340
0.665 0.000 0.000
0.500 0.750 0.250
0.335 0.335 0.335
0.250 0.500 0.750
0.000 0.000 0.665
0.750 0.500 0.250
0.000 0.000 0.335
0.665 0.665 0.665
0.750 0.250 0.500
0.250 0.750 0.500
0.000 0.335 0.000
0.335 0.000 0.000
0.500 0.250 0.750
0.000 0.665 0.000


No. 5
CaCuP3, PBEsol geometry, DFT SCAN; energy relative to the elements = 1.52 eV per atom
1.0
5.023 0.000 0.000
0.000 5.023 0.000
0.000 0.000 5.023
Ca P Cu
1 3 1
Direct
0.000 0.000 0.000
0.000 0.000 0.500
0.000 0.500 0.000
0.500 0.000 0.000
0.500 0.500 0.500


No. 6
Zr2BeOs, PBEsol geometry, DFT SCAN; energy relative to the elements = -0.24 eV per atom
1.0
3.101 0.000 0.000
0.000 4.557 0.023
-1.551 -1.332 4.662
Be Zr Os
1 2 1
Direct
0.531 0.493 0.062
0.769 0.292 0.538
0.991 0.981 0.982
0.209 0.735 0.418


No. 7
Ta2CdPtI, PBEsol geometry, DFT SCAN; E_form (uncorrected) = 885 kJ/mol of formula units
1.0
-1.218 0.721 4.664
-4.597 -1.599 -0.954
1.389 -4.637 1.080
Ta I Cd Pt
2 1 1 1
Direct
0.000 0.000 0.500
0.000 0.500 0.000
0.000 0.000 0.000
0.500 0.500 0.500
0.500 0.000 0.000


No. 8
MoWSCl2, PBEsol geometry, DFT SCAN; E_form (uncorrected) = 472 kJ/mol of formula units
1.0
4.699 0.000 0.000
0.000 4.699 0.000
0.000 0.000 4.682
W Cl Mo S
1 2 1 1
Direct
0.500 0.500 0.500
0.500 0.000 0.000
0.000 0.500 0.000
0.000 0.000 0.000
0.000 0.000 0.500


No. 9
Fe2BiB, PBEsol geometry, DFT SCAN; energy relative to the elements = 1.27 eV per atom
1.0
4.108 0.000 0.000
2.054 3.558 0.000
2.054 1.186 3.354
Fe B Bi
2 1 1
Direct
0.750 0.750 0.750
0.250 0.250 0.250
0.000 0.000 0.000
0.500 0.500 0.500


No. 10
Na2BSbSO7, PBEsol geometry, DFT SCAN; E_form (uncorrected) = -2219 kJ/mol of formula units
1.0
-1.975 1.960 -4.664
-6.327 -0.413 2.506
0.861 8.859 3.632
O S B Na Sb
14 2 2 4 2
Direct
0.993 0.250 0.191
0.758 0.250 0.970
0.122 0.076 0.664
0.739 0.750 0.543
0.484 0.750 0.331
0.878 0.576 0.336
0.432 0.750 0.801
0.568 0.250 0.199
0.122 0.424 0.664
0.878 0.924 0.336
0.242 0.750 0.030
0.261 0.250 0.457
0.007 0.750 0.809
0.516 0.250 0.669
0.264 0.250 0.612
0.736 0.750 0.388
0.772 0.250 0.105
0.228 0.750 0.895
0.729 0.008 0.815
0.271 0.992 0.185
0.729 0.492 0.815
0.271 0.508 0.185
0.198 0.750 0.632
0.802 0.250 0.368


No. 11
Y2MgS4, PBEsol geometry, DFT SCAN; E_form (uncorrected) = -1475 kJ/mol of formula units
1.0
-1.798 -2.641 1.960
5.323 -2.747 -2.402
6.440 3.358 10.430
Mg Y S
2 4 8
Direct
0.125 0.251 0.447
0.875 0.749 0.947
0.619 0.238 0.785
0.381 0.762 0.285
0.861 0.723 0.583
0.139 0.277 0.083
0.790 0.581 0.136
0.486 0.973 0.494
0.037 0.074 0.268
0.761 0.521 0.395
0.239 0.479 0.895
0.963 0.926 0.768
0.210 0.419 0.636
0.514 0.027 0.994


No. 12
NaTiNi2Cl, PBEsol geometry, DFT SCAN; E_form (uncorrected) = 115 kJ/mol of formula units
1.0
-2.683 -1.898 -2.984
2.452 -3.697 0.147
-2.741 -1.678 3.533
Ti Ni Na Cl
1 2 1 1
Direct
0.000 0.000 0.000
0.000 0.500 0.000
0.500 0.000 0.000
0.500 0.500 0.500
0.000 0.000 0.500